SrH10S2O8 | GGA-PBEsol | relaxed

Properties
Total moment = 0.00 Bohr magnetons per cell
Uncorrected energy = -5.347 eV/atom

Lattice parameters (Å, degrees): 10.8205 10.8205 10.4474 103.98 103.98 43.18
Element x y z (fractional)
Sr 0.0468 0.3949 0.1877
Sr 0.3949 0.0468 0.6877
Sr 0.6051 0.9532 0.3123
Sr 0.9532 0.6051 0.8123
H 0.0089 0.7154 0.2691
H 0.0365 0.3056 0.5180
H 0.0838 0.1218 0.4610
H 0.0882 0.9106 0.3699
H 0.0894 0.9118 0.1301
H 0.0985 0.8874 0.8862
H 0.1126 0.9015 0.6138
H 0.1162 0.2331 0.8693
H 0.1218 0.0838 0.9610
H 0.2331 0.1162 0.3693
H 0.2381 0.6110 0.7866
H 0.2542 0.6169 0.4153
H 0.2591 0.5954 0.9385
H 0.2788 0.5995 0.2658
H 0.2846 0.9911 0.2309
H 0.3056 0.0365 0.0180
H 0.3831 0.7458 0.0847
H 0.3890 0.7619 0.7134
H 0.4005 0.7212 0.2342
H 0.4046 0.7409 0.5615
H 0.5954 0.2591 0.4385
H 0.5995 0.2788 0.7658
H 0.6110 0.2381 0.2866
H 0.6169 0.2542 0.9153
H 0.6944 0.9635 0.9820
H 0.7154 0.0089 0.7691
H 0.7212 0.4005 0.7342
H 0.7409 0.4046 0.0615
H 0.7458 0.3831 0.5847
H 0.7619 0.3890 0.2134
H 0.7669 0.8838 0.6307
H 0.8782 0.9162 0.0390
H 0.8838 0.7669 0.1307
H 0.8874 0.0985 0.3862
H 0.9015 0.1126 0.1138
H 0.9106 0.0882 0.8699
H 0.9118 0.0894 0.6301
H 0.9162 0.8782 0.5390
H 0.9635 0.6944 0.4820
H 0.9911 0.2846 0.7309
S 0.2910 0.3657 0.5485
S 0.3657 0.2910 0.0485
S 0.3945 0.4696 0.6022
S 0.4696 0.3945 0.1022
S 0.5304 0.6055 0.8978
S 0.6055 0.5304 0.3978
S 0.6343 0.7090 0.9515
S 0.7090 0.6343 0.4515
O 0.0119 0.0429 0.3885
O 0.0429 0.0119 0.8885
O 0.0871 0.2782 0.7811
O 0.1392 0.1723 0.4969
O 0.1488 0.4602 0.4367
O 0.1678 0.6690 0.8645
O 0.1689 0.4382 0.0106
O 0.1723 0.1392 0.9969
O 0.1913 0.6829 0.3344
O 0.2169 0.3901 0.6651
O 0.2782 0.0871 0.2811
O 0.3171 0.8087 0.1656
O 0.3310 0.8322 0.6355
O 0.3901 0.2169 0.1651
O 0.4382 0.1689 0.5106
O 0.4602 0.1488 0.9367
O 0.5398 0.8512 0.0633
O 0.5618 0.8311 0.4894
O 0.6099 0.7831 0.8349
O 0.6690 0.1678 0.3645
O 0.6829 0.1913 0.8344
O 0.7218 0.9129 0.7189
O 0.7831 0.6099 0.3349
O 0.8087 0.3171 0.6656
O 0.8277 0.8608 0.0031
O 0.8311 0.5618 0.9894
O 0.8322 0.3310 0.1355
O 0.8512 0.5398 0.5633
O 0.8608 0.8277 0.5031
O 0.9129 0.7218 0.2189
O 0.9571 0.9881 0.1115
O 0.9881 0.9571 0.6115